1.
Compound: K2LiH6N3
Source: the Alexandria database
Functional: SCAN
Structure: PBEsol geometry

Cell and atoms, written as POSCAR:
```
K2LiH6N3
1.0
6.7828 0.0000 0.0000
0.0000 6.7828 0.0000
0.0000 0.0000 11.6284
K Li H N
8 4 24 12
Cartesian
0.0000 3.3914 4.0669
3.3914 0.0000 9.8811
0.0000 3.3914 7.5615
3.3914 0.0000 1.7473
0.0000 0.0000 5.8142
0.0000 0.0000 0.0000
3.3914 3.3914 2.9071
3.3914 3.3914 8.7213
4.3198 2.3771 5.8142
2.4629 4.4056 5.8142
2.3771 2.4629 0.0000
4.4056 4.3198 0.0000
4.5682 5.0126 5.0097
2.2146 1.7702 5.0097
5.0126 2.2146 10.8239
1.7702 4.5682 10.8239
2.2146 1.7702 6.6187
4.5682 5.0126 6.6187
1.7702 4.5682 0.8045
5.0126 2.2146 0.8045
5.5380 1.0766 3.3630
1.2447 5.7061 3.3630
1.0766 1.2447 9.1772
5.7061 5.5380 9.1772
1.2447 5.7061 8.2654
5.5380 1.0766 8.2654
5.7061 5.5380 2.4512
1.0766 1.2447 2.4512
4.4410 0.3966 4.3379
2.3417 6.3861 4.3379
0.3966 2.3417 10.1521
6.3861 4.4410 10.1521
2.3417 6.3861 7.2905
4.4410 0.3966 7.2905
6.3861 4.4410 1.4763
0.3966 2.3417 1.4763
4.7704 4.3948 5.8142
2.0123 2.3880 5.8142
4.3948 2.0123 0.0000
2.3880 4.7704 0.0000
4.8356 1.3179 4.0830
1.9472 5.4649 4.0830
1.3179 1.9472 9.8972
5.4649 4.8356 9.8972
1.9472 5.4649 7.5454
4.8356 1.3179 7.5454
5.4649 4.8356 1.7312
1.3179 1.9472 1.7312
```

Properties
- calculated total energy (eV/atom) = -6.14


2.
Compound: LiPtRh2
Source: the Alexandria database
Functional: SCAN
Structure: PBEsol geometry

Cell and atoms, written as POSCAR:
```
LiPtRh2
1.0
3.7672 0.0000 0.0000
0.0000 3.7672 0.0000
-1.8836 -1.8836 3.7360
Rh Pt Li
2 1 1
Cartesian
0.0000 0.0000 0.0000
0.0000 1.8836 1.8680
1.8836 0.0000 1.8680
1.8836 1.8836 0.0000
```

Properties
- calculated total energy (eV/atom) = -35.28
- formation energy from the elements (meV/atom) = -252
- relative energy among the computed polymorphs (eV/atom) = 0.000